Entry 1:
VASP calculation (PBE) on an optimized crystal structure of SmTm7Sc4.

Properties
Polymorph energy (0 for the lowest one) (kJ/mol of formula units): 272
Final energy (eV per atom): -4.858
Magnetization (μB/cell): 0.42
Calculated formation energy (eV per atom): 0.254
Symmetry: C2/m (12)

Cell lengths 5.673, 8.911, 8.220 Å; angles 66.55, 69.81, 71.44 degrees
Fractional coordinates of all 12 atoms:
Sm 0.000 0.000 0.000
Tm 0.792 0.880 0.536
Tm 0.208 0.120 0.464
Tm 0.086 0.559 0.269
Tm 0.914 0.441 0.731
Tm 0.248 0.718 0.786
Tm 0.500 0.000 0.000
Tm 0.752 0.282 0.214
Sc 0.552 0.297 0.600
Sc 0.448 0.703 0.400
Sc 0.671 0.652 0.006
Sc 0.329 0.348 0.994



Entry 2:
VASP calculation (PBE) on an optimized crystal structure of Dy8Sn2Te.

Properties
E_form (uncorrected) (eV per atom): -0.49
Final energy (eV per atom): -4.848
Magnetization (μB/cell): 0.00
Symmetry: C2/m (12)

Cell lengths 5.148, 6.887, 9.442 Å; angles 86.83, 105.82, 90.00 degrees
Fractional coordinates of all 11 atoms:
Dy 0.406 0.434 0.812
Dy 0.664 0.078 0.328
Dy 0.784 0.632 0.569
Dy 0.028 0.248 0.057
Dy 0.216 0.368 0.431
Dy 0.336 0.922 0.672
Dy 0.594 0.566 0.188
Dy 0.972 0.752 0.943
Sn 0.834 0.181 0.668
Sn 0.166 0.819 0.332
Te 0.500 0.000 0.000



Entry 3:
VASP calculation (PBE) on an optimized crystal structure of Nd6Er5Sc2.

Properties
Final energy (eV per atom): -4.861
Magnetization (μB/cell): 0.00
Calculated formation energy (eV per atom): 0.069
Symmetry: Pbam (55)

Cell lengths 3.578, 11.464, 20.336 Å; angles 90.00, 90.00, 90.00 degrees
Fractional coordinates of all 26 atoms:
Nd 0.000 0.168 0.382
Nd 0.000 0.832 0.618
Nd 0.000 0.668 0.118
Nd 0.000 0.332 0.882
Nd 0.500 0.419 0.156
Nd 0.500 0.581 0.844
Nd 0.500 0.919 0.344
Nd 0.500 0.081 0.656
Nd 0.000 0.714 0.446
Nd 0.000 0.286 0.554
Nd 0.000 0.214 0.054
Nd 0.000 0.786 0.946
Er 0.500 0.443 0.421
Er 0.500 0.557 0.579
Er 0.500 0.943 0.079
Er 0.500 0.057 0.921
Er 0.500 0.645 0.280
Er 0.500 0.355 0.720
Er 0.500 0.145 0.220
Er 0.500 0.855 0.780
Er 0.500 0.500 0.000
Er 0.500 0.000 0.500
Sc 0.000 0.387 0.288
Sc 0.000 0.613 0.712
Sc 0.000 0.887 0.212
Sc 0.000 0.113 0.788



Entry 4:
VASP calculation (PBE) on an optimized crystal structure of LaPm2YS4.

Properties
E_form (uncorrected) (eV per atom): -2.05
Final energy (eV per atom): -6.726
Magnetization (μB/cell): 0.00
Symmetry: P2/m (10)

Cell lengths 4.006, 7.040, 6.986 Å; angles 109.11, 90.00, 90.00 degrees
Fractional coordinates of all 8 atoms:
La 0.000 0.000 0.000
Pm 0.500 0.000 0.500
Pm 0.000 0.500 0.500
Y 0.500 0.500 0.000
S 0.500 0.259 0.251
S 0.500 0.741 0.749
S 0.000 0.260 0.755
S 0.000 0.740 0.245



Entry 5:
VASP calculation (PBE) on an optimized crystal structure of Tb2Sm4Tm3.

Properties
Polymorph energy (0 for the lowest one) (kJ/mol of formula units): 38
Final energy (eV per atom): -4.527
Magnetization (μB/cell): 0.00
Calculated formation energy (eV per atom): 0.090
Symmetry: C2/c (15)

Cell lengths 5.946, 10.206, 10.206 Å; angles 69.79, 83.83, 83.83 degrees
Fractional coordinates of all 18 atoms:
Tb 0.208 0.710 0.496
Tb 0.292 0.504 0.290
Tb 0.792 0.290 0.504
Tb 0.708 0.496 0.710
Sm 0.544 0.046 0.827
Sm 0.956 0.173 0.954
Sm 0.456 0.954 0.173
Sm 0.044 0.827 0.046
Sm 0.620 0.837 0.620
Sm 0.880 0.380 0.163
Sm 0.380 0.163 0.380
Sm 0.120 0.620 0.837
Tm 0.082 0.984 0.681
Tm 0.418 0.319 0.016
Tm 0.918 0.016 0.319
Tm 0.582 0.681 0.984
Tm 0.250 0.349 0.651
Tm 0.750 0.651 0.349



Entry 6:
VASP calculation (PBE) on an optimized crystal structure of Mg2TaAg.

Properties
Polymorph energy (0 for the lowest one) (kJ/mol of formula units): 24
Final energy (eV per atom): -4.351
Magnetization (μB/cell): 0.26
Calculated formation energy (eV per atom): 0.123
Symmetry: R-3m (166)

Cell lengths 10.052, 10.052, 10.052 Å; angles 16.99, 16.99, 16.99 degrees
Fractional coordinates of all 4 atoms:
Ag 0.750 0.750 0.750
Mg 0.004 0.004 0.004
Mg 0.496 0.496 0.496
Ta 0.250 0.250 0.250



Entry 7:
VASP calculation (PBE) on an optimized crystal structure of ZrCoAu.

Properties
Final energy (eV per atom): -6.655
Magnetization (μB/cell): 3.29
Calculated formation energy (eV per atom): -0.345
Symmetry: C2/m (12)

Cell lengths 7.058, 3.286, 9.426 Å; angles 90.00, 111.38, 90.00 degrees
Fractional coordinates of all 12 atoms:
Co 0.454 0.000 0.838
Co 0.546 0.000 0.162
Co 0.454 0.500 0.338
Co 0.546 0.500 0.662
Au 0.894 0.000 0.831
Au 0.106 0.000 0.169
Au 0.894 0.500 0.331
Au 0.106 0.500 0.669
Zr 0.271 0.000 0.493
Zr 0.729 0.000 0.507
Zr 0.271 0.500 0.993
Zr 0.729 0.500 0.007



Entry 8:
VASP calculation (PBE) on an optimized crystal structure of YCr2W.

Properties
Polymorph energy (0 for the lowest one) (kJ/mol of formula units): 216
Final energy (eV per atom): -8.730
Magnetization (μB/cell): 7.75
Calculated formation energy (eV per atom): 0.936
Symmetry: I-42d (122)

Cell lengths 7.233, 7.233, 5.902 Å; angles 52.21, 52.21, 90.00 degrees
Fractional coordinates of all 8 atoms:
Y 0.500 0.500 0.000
Y 0.250 0.750 0.500
Cr 0.675 0.125 0.250
Cr 0.075 0.625 0.250
Cr 0.375 0.325 0.750
Cr 0.875 0.925 0.750
W 0.000 0.000 0.000
W 0.750 0.250 0.500



Entry 9:
VASP calculation (PBE) on an optimized crystal structure of PbW2N.

Properties
Polymorph energy (0 for the lowest one) (kJ/mol of formula units): 389
E_form (uncorrected) (eV per atom): 1.86
Final energy (eV per atom): -7.627
Magnetization (μB/cell): 0.00
Symmetry: Fm-3m (225)

Cell lengths 4.468, 4.468, 4.468 Å; angles 60.00, 60.00, 60.00 degrees
Fractional coordinates of all 4 atoms:
Pb 0.500 0.500 0.500
W 0.250 0.250 0.250
W 0.750 0.750 0.750
N 0.000 0.000 0.000



Entry 10:
VASP calculation (PBE) on an optimized crystal structure of K2MgGa12Pd3.

Properties
Final energy (eV per atom): -3.160
Magnetization (μB/cell): 0.00
Calculated formation energy (eV per atom): -0.066
Symmetry: R-3m (166)

Cell lengths 8.108, 8.108, 8.108 Å; angles 73.72, 73.72, 73.72 degrees
Fractional coordinates of all 18 atoms:
K 0.608 0.608 0.608
K 0.392 0.392 0.392
Mg 0.000 0.000 0.000
Ga 0.244 0.244 0.913
Ga 0.864 0.864 0.343
Ga 0.343 0.864 0.864
Ga 0.913 0.244 0.244
Ga 0.864 0.343 0.864
Ga 0.244 0.913 0.244
Ga 0.756 0.756 0.087
Ga 0.136 0.136 0.657
Ga 0.657 0.136 0.136
Ga 0.087 0.756 0.756
Ga 0.136 0.657 0.136
Ga 0.756 0.087 0.756
Pd 0.500 0.000 0.000
Pd 0.000 0.500 0.000
Pd 0.000 0.000 0.500



Entry 11:
VASP calculation (PBE) on an optimized crystal structure of Tc2AsAuO.

Properties
E_form (uncorrected) (eV per atom): 0.38
Final energy (eV per atom): -6.341
Magnetization (μB/cell): 2.25
Symmetry: P4/mmm (123)

Cell lengths 4.072, 4.572, 4.072 Å; angles 90.00, 90.00, 90.00 degrees
Fractional coordinates of all 5 atoms:
As 0.000 0.500 0.000
Au 0.500 0.500 0.500
Tc 0.000 0.000 0.500
Tc 0.500 0.000 0.000
O 0.000 0.000 0.000



Entry 12:
VASP calculation (PBE) on an optimized crystal structure of Ni8Pt6W.

Properties
Final energy (eV per atom): -6.278
Magnetization (μB/cell): 2.40
Calculated formation energy (eV per atom): 0.086
Symmetry: R-3 (148)

Cell lengths 7.189, 7.189, 6.156 Å; angles 54.27, 54.27, 60.00 degrees
Fractional coordinates of all 15 atoms:
Ni 0.611 0.138 0.298
Ni 0.862 0.047 0.702
Ni 0.047 0.389 0.702
Ni 0.769 0.769 0.694
Ni 0.231 0.231 0.306
Ni 0.953 0.611 0.298
Ni 0.138 0.953 0.298
Ni 0.389 0.862 0.702
Pt 0.423 0.171 0.780
Pt 0.829 0.375 0.220
Pt 0.375 0.577 0.220
Pt 0.625 0.423 0.780
Pt 0.171 0.625 0.780
Pt 0.577 0.829 0.220
W 0.000 0.000 0.000



- What is the magnetization in the first record?
  0.42 μB/cell



- The lowest final energy belongs to which entry?
  YCr2W